1.
Here is crystalline BeCrPb4 at its relaxed geometry from Alexandria. Energies are from PBE.

## Properties
Its energy relative to the elements is 0.934 eV per atom. The value obtained for the total moment is 0.77 μB/atom. The total energy comes out at -3.763 eV/atom. The density of states at the Fermi level comes out at 3.585 states/eV/cell.

```
data_BeCrPb4
_chemical_formula_sum 'Be1 Cr1 Pb4'
_cell_length_a 6.3595
_cell_length_b 6.3595
_cell_length_c 6.3595
_cell_angle_alpha 60.00
_cell_angle_beta 60.00
_cell_angle_gamma 60.00
_space_group_name_H-M_alt 'P 1'
_space_group_IT_number 1
loop_
_space_group_symop_operation_xyz
'x,y,z'
loop_
_atom_site_label
_atom_site_fract_x
_atom_site_fract_y
_atom_site_fract_z
Be1 0.0000 0.0000 0.0000
Cr1 0.7500 0.7500 0.7500
Pb1 0.3751 0.3751 0.3751
Pb2 0.3751 0.3751 0.8748
Pb3 0.3751 0.8748 0.3751
Pb4 0.8748 0.3751 0.3751
```

***

2.
Here is crystalline BeCr3Pb at its relaxed geometry from Alexandria. Energies are from PBE.

## Properties
Its energy relative to the elements is 0.742 eV per atom. The value obtained for the total moment is 1.55 μB/atom. The total energy comes out at -6.519 eV/atom. The density of states at the Fermi level comes out at 1.917 states/eV/cell. For the excess energy over the best structure of this formula in the dataset, the calculation gives 0.000 eV/atom.

```
data_BeCr3Pb
_chemical_formula_sum 'Be1 Cr3 Pb1'
_cell_length_a 4.2576
_cell_length_b 4.2576
_cell_length_c 4.2576
_cell_angle_alpha 90.00
_cell_angle_beta 90.00
_cell_angle_gamma 90.00
_space_group_name_H-M_alt 'P 1'
_space_group_IT_number 1
loop_
_space_group_symop_operation_xyz
'x,y,z'
loop_
_atom_site_label
_atom_site_fract_x
_atom_site_fract_y
_atom_site_fract_z
Be1 0.0000 0.0000 0.0000
Cr1 0.0000 0.0000 0.5000
Cr2 0.0000 0.5000 0.0000
Cr3 0.5000 0.0000 0.0000
Pb1 0.5000 0.5000 0.5000
```

***

3.
Here is crystalline Be2CrPb at its relaxed geometry from Alexandria. Energies are from PBE.

## Properties
Its energy relative to the elements is 0.516 eV per atom. The value obtained for the total moment is 0.40 μB/atom. The total energy comes out at -4.680 eV/atom. The density of states at the Fermi level comes out at 2.154 states/eV/cell.

```
data_Be2CrPb
_chemical_formula_sum 'Be2 Cr1 Pb1'
_cell_length_a 3.1887
_cell_length_b 3.2093
_cell_length_c 5.5651
_cell_angle_alpha 90.00
_cell_angle_beta 90.00
_cell_angle_gamma 90.00
_space_group_name_H-M_alt 'P 1'
_space_group_IT_number 1
loop_
_space_group_symop_operation_xyz
'x,y,z'
loop_
_atom_site_label
_atom_site_fract_x
_atom_site_fract_y
_atom_site_fract_z
Be1 0.0000 0.0000 0.1772
Be2 0.0000 0.0000 0.8228
Cr1 0.5000 0.5000 0.0000
Pb1 0.5000 0.5000 0.5000
```

***

4.
Here is crystalline BeCr2Pb at its relaxed geometry from Alexandria. Energies are from PBE.

## Properties
Its energy relative to the elements is 0.588 eV per atom. The value obtained for the total moment is 0.00 μB/atom. The total energy comes out at -6.082 eV/atom. The density of states at the Fermi level comes out at 3.067 states/eV/cell. For the excess energy over the best structure of this formula in the dataset, the calculation gives 0.155 eV/atom.

```
data_BeCr2Pb
_chemical_formula_sum 'Be1 Cr2 Pb1'
_cell_length_a 3.9418
_cell_length_b 3.9418
_cell_length_c 5.0989
_cell_angle_alpha 112.74
_cell_angle_beta 112.74
_cell_angle_gamma 60.09
_space_group_name_H-M_alt 'P 1'
_space_group_IT_number 1
loop_
_space_group_symop_operation_xyz
'x,y,z'
loop_
_atom_site_label
_atom_site_fract_x
_atom_site_fract_y
_atom_site_fract_z
Be1 0.0000 0.0000 0.0000
Cr1 0.3025 0.3025 0.9062
Cr2 0.6975 0.6975 0.0938
Pb1 0.5000 0.5000 0.5000
```